Compound: Dy4UO10
Source: Alexandria via LeMat-Bulk
Functional: GGA-PBE
Structure: relaxed

```
Dy4UO10
1.0
-4.298 4.298 2.634
4.298 -4.298 2.634
4.298 4.298 -2.634
Dy U O
4 1 10
direct
0.099 0.700 0.800
0.300 0.099 0.399
0.700 0.901 0.601
0.901 0.300 0.200
0.500 0.500 0.000
0.071 0.357 0.907
0.164 0.071 0.714
0.250 0.750 0.500
0.357 0.450 0.286
0.450 0.164 0.093
0.550 0.836 0.907
0.643 0.550 0.714
0.750 0.250 0.500
0.836 0.929 0.286
0.929 0.643 0.093
```

The value obtained for the spin magnetization is 1.60 μB per cell. The value obtained for the density of states at the Fermi level is 11.17 states/eV/f.u. Its space group is No. 87. Its calculated volume is 194.6 Å³/cell. As for the total energy: -8.464 eV per atom.

***

Compound: DyZrUO6
Source: Alexandria via LeMat-Bulk
Functional: GGA-PBE
Structure: relaxed

```
DyZrUO6
1.0
5.675 0.000 0.000
-2.837 4.915 0.000
0.000 0.000 9.147
Dy Zr U O
2 2 2 12
direct
0.333 0.667 0.250
0.667 0.333 0.750
0.000 0.000 0.000
0.000 0.000 0.500
0.333 0.667 0.750
0.667 0.333 0.250
0.017 0.331 0.627
0.017 0.686 0.873
0.314 0.331 0.873
0.314 0.983 0.627
0.331 0.017 0.127
0.331 0.314 0.373
0.669 0.686 0.627
0.669 0.983 0.873
0.686 0.017 0.373
0.686 0.669 0.127
0.983 0.314 0.127
0.983 0.669 0.373
```

The value obtained for the spin magnetization is 2.00 μB per cell. Its space group is No. 163. Its calculated volume is 255.1 Å³/cell. As for the total energy: -9.256 eV per atom.

***

Listing energy relative to the elements, uncorrected for the structures above in their given order: -3.18; -3.23 eV/atom.